(1)
# SmGe2Se4

A relaxed SmGe2Se4 crystal (PBE-GGA, Alexandria via LeMat-Bulk).

Cell lengths 7.7269, 7.7269, 6.7604 Å; angles 90.00, 90.00, 90.00 degrees
With the nearest neighbours (Å) after each atom.
Atoms (fractional coordinates):
Sm  0.0000  0.0000  0.0000  4 Se 2.89
Sm  0.5000  0.5000  0.5000  4 Se 2.89
Ge  0.0000  0.5000  0.2500  4 Se 2.64
Ge  0.0000  0.5000  0.7500  4 Se 2.64
Ge  0.5000  0.0000  0.2500  4 Se 2.64
Ge  0.5000  0.0000  0.7500  4 Se 2.64
Se  0.1785  0.3076  0.5000  2 Ge 2.64, 1 Sm 2.89
Se  0.1924  0.6785  0.0000  2 Ge 2.64, 1 Sm 2.89
Se  0.3076  0.8215  0.5000  2 Ge 2.64, 1 Sm 2.89
Se  0.3215  0.1924  0.0000  2 Ge 2.64, 1 Sm 2.89
Se  0.6785  0.8076  0.0000  2 Ge 2.64, 1 Sm 2.89
Se  0.6924  0.1785  0.5000  2 Ge 2.64, 1 Sm 2.89
Se  0.8076  0.3215  0.0000  2 Ge 2.64, 1 Sm 2.89
Se  0.8215  0.6924  0.5000  2 Ge 2.64, 1 Sm 2.89

Results
Total magnetic moment ... 0.000 μB per atom
Space group ... I4/m
Formation energy (no corrections) ... -0.5148 eV/atom



(2)
# Sm2GeSe

A relaxed Sm2GeSe crystal (PBE-GGA, Alexandria via LeMat-Bulk).

Cell lengths 4.2168, 4.2168, 20.8321 Å; angles 90.00, 90.00, 120.00 degrees
With the nearest neighbours (Å) after each atom.
Atoms (fractional coordinates):
Sm  0.0000  0.0000  0.2467  3 Ge 2.95, 3 Se 3.03
Sm  0.0000  0.0000  0.7533  3 Ge 2.95, 3 Se 3.03
Sm  0.3333  0.6667  0.4200  3 Ge 2.95, 3 Se 3.03
Sm  0.3333  0.6667  0.9133  3 Ge 2.95, 3 Se 3.03
Sm  0.6667  0.3333  0.0867  3 Ge 2.95, 3 Se 3.03
Sm  0.6667  0.3333  0.5800  3 Ge 2.95, 3 Se 3.03
Ge  0.0000  0.0000  0.5000  6 Sm 2.95
Ge  0.3333  0.6667  0.1667  6 Sm 2.95
Ge  0.6667  0.3333  0.8333  6 Sm 2.95
Se  0.0000  0.0000  0.0000  6 Sm 3.03
Se  0.3333  0.6667  0.6667  6 Sm 3.03
Se  0.6667  0.3333  0.3333  6 Sm 3.03

Results
Total magnetic moment ... 0.000 μB per atom
Space group ... R-3m
Formation energy (no corrections) ... -1.4008 eV/atom



(3)
# Sm5GeSe5

A relaxed Sm5GeSe5 crystal (PBE-GGA, Alexandria via LeMat-Bulk).

Cell lengths 7.2673, 7.2673, 8.3657 Å; angles 106.69, 106.69, 47.94 degrees
With the nearest neighbours (Å) after each atom.
Atoms (fractional coordinates):
Sm  0.0000  0.0000  0.0000  2 Ge 2.95, 4 Se 2.98
Sm  0.3371  0.3371  0.6685  5 Se 2.93-2.98, 1 Ge 2.93
Sm  0.3403  0.3403  0.1719  5 Se 2.89-3.00, 1 Ge 2.91
Sm  0.6597  0.6597  0.8281  5 Se 2.89-3.00, 1 Ge 2.91
Sm  0.6629  0.6629  0.3315  5 Se 2.93-2.98, 1 Ge 2.93
Ge  0.5000  0.5000  0.0000  6 Sm 2.91-2.95
Se  0.1692  0.1692  0.3340  5 Sm 2.95-2.99
Se  0.1700  0.1700  0.8372  5 Sm 2.96-3.00
Se  0.5000  0.5000  0.5000  4 Sm 2.89-2.93
Se  0.8300  0.8300  0.1628  5 Sm 2.96-3.00
Se  0.8308  0.8308  0.6660  5 Sm 2.95-2.99

Results
Total magnetic moment ... 0.000 μB per atom
Space group ... C2/m
Formation energy (no corrections) ... -1.7361 eV/atom